The following is a PBE calculation of a relaxed structure of BaSrCdSbP, from OQMD via LeMat-Bulk.

Cell and atoms, written as extended XYZ:
```
10
Lattice="2.314 -8.748 0.000 2.314 8.748 0.000 0.000 0.000 8.053" Properties=species:S:1:pos:R:3 pbc="T T T"
Ba 2.314 4.922 4.027
Ba 2.314 -4.922 0.000
Sr 2.314 8.120 0.998
Sr 2.314 -8.120 5.025
Cd 2.314 1.649 2.337
Cd 2.314 -1.649 6.364
Sb 2.314 1.205 7.393
Sb 2.314 -1.205 3.367
P 2.314 5.868 7.075
P 2.314 -5.868 3.048
```

Values from the calculation:
- distance to the lowest polymorph of the same formula (eV per atom) = 0.000
- space-group type = Cmc2_1